The following is a DFT calculation (PBE) of a relaxed structure of LiMgCu2.

Formation energy from the elements   -0.0672 eV per atom
DOS(E_F)   1.5 states/eV/cell

abc: 4.5802 4.5802 4.5802
angles: 128.96 128.98 75.06
Fractional coordinates of all 4 atoms:
Mg  0.2500  0.7500  0.5000
Li  0.4999  0.4999  0.0000
Cu  0.7501  0.2501  0.5000
Cu  0.9999  0.9999  0.0000

=====

The following is a DFT calculation (PBE) of a relaxed structure of Na2Pr4Bi3O2.

ΔE_f (raw)   -1.379 eV/atom
DOS(E_F)   2.2 states/eV/cell

abc: 4.9619 4.9619 13.5555
angles: 100.55 100.55 90.00
Fractional coordinates of all 11 atoms:
Na  0.7004  0.7004  0.4009
Pr  0.4106  0.9106  0.8212
Bi  0.0000  0.0000  0.0000
Na  0.2996  0.2996  0.5991
O  0.4075  0.4075  0.8150
O  0.5925  0.5925  0.1850
Bi  0.1744  0.1744  0.3489
Pr  0.5894  0.0894  0.1788
Bi  0.8256  0.8256  0.6511
Pr  0.9106  0.4106  0.8212
Pr  0.0894  0.5894  0.1788

=====

The following is a DFT calculation (PBE) of a relaxed structure of Ca2Ti2Pb.

Formation energy from the elements   0.5089 eV per atom
DOS(E_F)   10.9 states/eV/cell

abc: 9.1845 9.1845 3.4147
angles: 90.00 90.00 90.00
Fractional coordinates of all 10 atoms:
Ti  0.4132  0.0868  0.5000
Ti  0.0868  0.5868  0.5000
Ti  0.9132  0.4132  0.5000
Ca  0.6963  0.1963  0.0000
Ca  0.3037  0.8037  0.0000
Pb  0.5000  0.5000  0.0000
Ca  0.1963  0.3037  0.0000
Ca  0.8037  0.6963  0.0000
Pb  0.0000  0.0000  0.0000
Ti  0.5868  0.9132  0.5000